Entry from Alexandria via LeMat-Bulk: crystalline FeTeCI2 at its relaxed geometry (PBE-GGA).

Unit cell a=5.0372 b=5.0372 c=4.7248 alpha=90.00 beta=90.00 gamma=90.00
Closest atoms and distances in Å follow each position.
Fractional positions:
I1 0.0000 0.5000 0.0000  2 C 2.52
I2 0.5000 0.0000 0.0000  2 C 2.52
C1 0.0000 0.0000 0.0000  2 Te 2.36, 4 I 2.52
Te1 0.0000 0.0000 0.5000  2 C 2.36
Fe1 0.5000 0.5000 0.5000  8 I 3.45, 4 Te 3.56

Computed properties:
The space group is P4/mmm, No. 123. The crystal system is tetragonal. The raw formation energy is 1467 meV/atom.

---

Entry from Alexandria via LeMat-Bulk: crystalline Tm2Ga3Ni4Ir at its relaxed geometry (PBE-GGA).

Unit cell a=3.8373 b=3.8373 c=10.8021 alpha=90.00 beta=90.00 gamma=90.00
Closest atoms and distances in Å follow each position.
Fractional positions:
Tm1 0.5000 0.0000 0.2610  4 Ni 2.88, 6 Ga 3.05-3.22, 2 Ir 3.22
Tm2 0.0000 0.5000 0.7390  4 Ni 2.88, 6 Ga 3.05-3.22, 2 Ir 3.22
Ga1 0.0000 0.0000 0.5000  4 Ni 2.51, 4 Ir 2.71
Ga2 0.5000 0.0000 0.8676  5 Ni 2.36-2.39
Ga3 0.0000 0.5000 0.1324  5 Ni 2.36-2.39
Ni1 0.5000 0.5000 0.0000  4 Ga 2.39
Ni2 0.0000 0.0000 0.0000  4 Ga 2.39
Ni3 0.5000 0.0000 0.6494  3 Ga 2.36-2.51, 2 Ir 2.51
Ni4 0.0000 0.5000 0.3506  3 Ga 2.36-2.51, 2 Ir 2.51
Ir1 0.5000 0.5000 0.5000  4 Ni 2.51, 4 Ga 2.71

Computed properties:
The space group is P-4m2, No. 115. The crystal system is tetragonal. The calculation puts the energy of formation at -50.6 kJ per mole of atoms.

---

Entry from Alexandria via LeMat-Bulk: crystalline KBa2Cl at its relaxed geometry (PBE-GGA).

Unit cell a=10.2831 b=10.2831 c=8.5096 alpha=52.83 beta=52.83 gamma=90.00
Closest atoms and distances in Å follow each position.
Fractional positions:
K1 0.0000 0.0000 0.0000  2 Cl 4.42, 8 Ba 4.43-4.66
K2 0.7500 0.2500 0.5000  2 Cl 4.42, 8 Ba 4.43-4.66
Ba1 0.5131 0.1250 0.2500  2 Cl 3.14
Ba2 0.2369 0.6250 0.2500  2 Cl 3.14
Ba3 0.3750 0.4869 0.7500  2 Cl 3.14
Ba4 0.8750 0.7631 0.7500  2 Cl 3.14
Cl1 0.5000 0.5000 0.0000  4 Ba 3.14
Cl2 0.2500 0.7500 0.5000  4 Ba 3.14

Computed properties:
The space group is I-42d, No. 122. The crystal system is tetragonal. The raw formation energy is -719 meV/atom.

---

Entry from Alexandria via LeMat-Bulk: crystalline Ac2Tb5Tm12 at its relaxed geometry (PBE-GGA).

Unit cell a=9.3789 b=9.3789 c=8.6420 alpha=101.64 beta=101.64 gamma=59.05
Closest atoms and distances in Å follow each position.
Fractional positions:
Ac1 0.1968 0.8032 0.0000  8 Tm 3.60-4.02, 1 Ac 3.64, 2 Tb 3.67
Ac2 0.8032 0.1968 0.0000  8 Tm 3.60-4.02, 1 Ac 3.64, 2 Tb 3.67
Tb1 0.7833 0.7833 0.4875  7 Tm 3.20-3.42, 2 Tb 3.32-3.51
Tb2 0.6426 0.6426 0.1415  6 Tm 3.17-3.38, 1 Tb 3.32
Tb3 0.0000 0.0000 0.5000  6 Tm 3.29-3.42, 2 Tb 3.51
Tb4 0.3574 0.3574 0.8585  6 Tm 3.17-3.38, 1 Tb 3.32
Tb5 0.2167 0.2167 0.5125  7 Tm 3.20-3.42, 2 Tb 3.32-3.51
Tm1 0.8518 0.8518 0.1691  3 Tb 3.20-3.37, 4 Tm 3.42-3.54
Tm2 0.9422 0.5712 0.8138  2 Tb 3.32-3.41, 6 Tm 3.42-3.54
Tm3 0.5712 0.9422 0.8138  2 Tb 3.32-3.41, 6 Tm 3.42-3.54
Tm4 0.7885 0.4155 0.4515  4 Tb 3.38-3.42, 5 Tm 3.41-3.62
Tm5 0.4155 0.7885 0.4515  4 Tb 3.38-3.42, 5 Tm 3.41-3.62
Tm6 0.5659 0.5659 0.7690  1 Tb 3.17, 6 Tm 3.41-3.50
Tm7 0.4341 0.4341 0.2310  1 Tb 3.17, 6 Tm 3.41-3.50
Tm8 0.2115 0.5845 0.5485  4 Tb 3.38-3.42, 5 Tm 3.41-3.62
Tm9 0.5845 0.2115 0.5485  4 Tb 3.38-3.42, 5 Tm 3.41-3.62
Tm10 0.0578 0.4288 0.1862  2 Tb 3.32-3.41, 6 Tm 3.42-3.54
Tm11 0.4288 0.0578 0.1862  2 Tb 3.32-3.41, 6 Tm 3.42-3.54
Tm12 0.1482 0.1482 0.8309  3 Tb 3.20-3.37, 4 Tm 3.42-3.54

Computed properties:
The space group is C2/m, No. 12. The crystal system is monoclinic. The calculation puts the energy of formation at 20.3 kJ per mole of atoms.

---

Entry from Alexandria via LeMat-Bulk: crystalline BeRePb2 at its relaxed geometry (PBE-GGA).

Unit cell a=4.8892 b=4.8892 c=4.8892 alpha=60.00 beta=60.00 gamma=60.00
Closest atoms and distances in Å follow each position.
Fractional positions:
Pb1 0.0000 0.0000 0.0000  4 Re 2.99, 4 Pb 2.99
Pb2 0.2500 0.2500 0.2500  4 Be 2.99, 4 Pb 2.99
Re1 0.7500 0.7500 0.7500  4 Pb 2.99, 4 Be 2.99
Be1 0.5000 0.5000 0.5000  4 Pb 2.99, 4 Re 2.99

Computed properties:
The space group is F-43m, No. 216. The crystal system is cubic. The calculation puts the energy of formation at 126.6 kJ per mole of atoms.

---

Entry from Alexandria via LeMat-Bulk: crystalline KCoRh at its relaxed geometry (PBE-GGA).

Unit cell a=6.3118 b=6.3118 c=6.3118 alpha=154.82 beta=144.09 gamma=44.36
Closest atoms and distances in Å follow each position.
Fractional positions:
Co1 0.0573 0.0573 0.0000  4 Rh 2.46, 2 Co 2.75
K1 0.3324 0.3324 0.0000  2 K 2.75
Rh1 0.6103 0.6103 0.0000  4 Co 2.46, 2 Rh 2.75

Computed properties:
The space group is Imm2, No. 44. The crystal system is orthorhombic. The calculation puts the energy of formation at 49.8 kJ per mole of atoms.

---

Entry from Alexandria via LeMat-Bulk: crystalline NaTiIn at its relaxed geometry (PBE-GGA).

Unit cell a=14.4923 b=5.4880 c=5.4880 alpha=147.43 beta=141.73 gamma=38.27
Closest atoms and distances in Å follow each position.
Fractional positions:
Na1 0.9604 0.3725 0.6275  3 Na 2.98-3.08, 3 In 3.22-3.24, 2 Ti 3.25
Na2 0.3172 0.9643 0.0357  3 Na 2.98-3.08, 3 In 3.04-3.12, 5 Ti 3.10-3.25
Ti1 0.4971 0.0352 0.9648  4 Ti 2.75-3.08, 2 In 2.97
Ti2 0.6231 0.2016 0.7984  4 Ti 2.75-3.08, 2 In 3.07
In1 0.7803 0.3049 0.6951  5 Ti 2.97-3.23, 2 In 3.08, 3 Na 3.22-3.24
In2 0.1792 0.8528 0.1472  5 Na 3.04-3.38, 3 In 3.08-3.33, 2 Ti 3.09

Computed properties:
The space group is Cm, No. 8. The crystal system is monoclinic. The calculation puts the energy of formation at 18.8 kJ per mole of atoms.

---

Entry from Alexandria via LeMat-Bulk: crystalline LaTlSeN2 at its relaxed geometry (PBE-GGA).

Unit cell a=4.3512 b=4.3512 c=6.4321 alpha=90.00 beta=90.00 gamma=90.00
Closest atoms and distances in Å follow each position.
Fractional positions:
Tl1 0.5000 0.5000 0.5000  4 Se 3.08
N1 0.0000 0.5000 0.0000  2 La 2.18
N2 0.5000 0.0000 0.0000  2 La 2.18
Se1 0.0000 0.0000 0.5000  4 Tl 3.08, 2 La 3.22
La1 0.0000 0.0000 0.0000  4 N 2.18

Computed properties:
The space group is P4/mmm, No. 123. The crystal system is tetragonal. The raw formation energy is 499 meV/atom.

---

Number 1: total DFT energy (no corrections) -3.318 eV per atom. Number 2: total DFT energy (no corrections) -5.525 eV per atom. Number 3: total DFT energy (no corrections) -2.416 eV per atom. Number 4: total DFT energy (no corrections) -4.265 eV per atom. Number 5: total DFT energy (no corrections) -4.585 eV per atom. Number 6: total DFT energy (no corrections) -4.669 eV per atom. Number 7: total DFT energy (no corrections) -3.790 eV per atom. Number 8: total DFT energy (no corrections) -4.986 eV per atom.